(1)
VASP calculation (PBE) on NdEr3Ga2 after structural relaxation.

* crystal system: orthorhombic
* M_tot: 0.00 μB per atom
* energy relative to the elements: -0.42 eV per atom
* SG: Pmc2_1
* energy relative to the lowest polymorph listed for this composition: 0.0 kJ per mole of atoms
* DOS at the Fermi energy: 0.8911 states/eV per atom

Cell: 4.921 9.528 6.621 Å, 90.00 90.00 90.00°
Atoms (fractional coordinates):
Nd (0.000, 0.050, 0.000)
Nd (0.000, 0.950, 0.500)
Er (0.000, 0.324, 0.624)
Er (0.000, 0.676, 0.124)
Er (0.500, 0.189, 0.290)
Er (0.500, 0.447, 0.920)
Er (0.500, 0.553, 0.420)
Er (0.500, 0.811, 0.790)
Ga (0.000, 0.365, 0.170)
Ga (0.000, 0.635, 0.670)
Ga (0.500, 0.142, 0.742)
Ga (0.500, 0.858, 0.242)

(2)
VASP calculation (PBE) on Nd3ErGa2 after structural relaxation.

* crystal system: orthorhombic
* M_tot: 0.00 μB per atom
* energy relative to the elements: -0.40 eV per atom
* SG: Pmc2_1
* energy relative to the lowest polymorph listed for this composition: 0.0 kJ per mole of atoms
* DOS at the Fermi energy: 1.0442 states/eV per atom

Cell: 5.133 9.688 6.645 Å, 90.00 90.00 90.00°
Atoms (fractional coordinates):
Nd (0.000, 0.048, 0.000)
Nd (0.000, 0.335, 0.335)
Nd (0.000, 0.665, 0.835)
Nd (0.000, 0.952, 0.500)
Nd (0.500, 0.178, 0.704)
Nd (0.500, 0.822, 0.204)
Er (0.500, 0.446, 0.038)
Er (0.500, 0.554, 0.538)
Ga (0.000, 0.352, 0.818)
Ga (0.000, 0.648, 0.318)
Ga (0.500, 0.150, 0.227)
Ga (0.500, 0.850, 0.727)

(3)
VASP calculation (PBE) on NdEr3Ga4 after structural relaxation.

* crystal system: tetragonal
* M_tot: 0.00 μB per atom
* energy relative to the elements: -0.57 eV per atom
* SG: P4/mmm
* energy relative to the lowest polymorph listed for this composition: 0.0 kJ per mole of atoms
* DOS at the Fermi energy: 0.4126 states/eV per atom

Cell: 5.065 5.065 7.158 Å, 90.00 90.00 90.00°
Atoms (fractional coordinates):
Nd (0.000, 0.000, 0.000)
Er (0.000, 0.000, 0.500)
Er (0.500, 0.500, 0.000)
Er (0.500, 0.500, 0.500)
Ga (0.000, 0.500, 0.259)
Ga (0.000, 0.500, 0.741)
Ga (0.500, 0.000, 0.259)
Ga (0.500, 0.000, 0.741)

(4)
VASP calculation (PBE) on Nd4ErGa4 after structural relaxation.

* crystal system: tetragonal
* M_tot: 0.00 μB per atom
* energy relative to the elements: -0.39 eV per atom
* SG: I4/m
* DOS at the Fermi energy: 0.9376 states/eV per atom

Cell: 7.678 7.678 7.678 Å, 95.54 95.54 143.80°
Atoms (fractional coordinates):
Nd (0.133, 0.647, 0.780)
Nd (0.353, 0.133, 0.486)
Nd (0.647, 0.867, 0.514)
Nd (0.867, 0.353, 0.220)
Er (0.000, 0.000, 0.000)
Ga (0.334, 0.430, 0.764)
Ga (0.430, 0.666, 0.097)
Ga (0.570, 0.334, 0.903)
Ga (0.666, 0.570, 0.236)